Entry from the Alexandria database: an optimized crystal structure of ErSbPt (PBE).

Cell and atoms, written as POSCAR:
```
ErSbPt
1.0
3.926 0.000 0.000
0.000 3.926 0.000
-1.963 -1.963 4.436
Sb Pt Er
1 1 1
Direct
0.277 0.277 0.555
0.965 0.965 0.931
0.607 0.607 0.214
```

Values from the calculation:
- N(E_F) (states/eV/f.u.) = 1.7
- symmetry = No. 107
- volume (Å³/atom) = 22.8
- ΔE_f (raw) (meV/atom) = -703